# SmTmTlIn

SmTmTlIn after structural relaxation (GGA-PBE, Alexandria via LeMat-Bulk).

The structure in CIF format:
```
data_SmTmTlIn
_cell_length_a 7.5851
_cell_length_b 7.5851
_cell_length_c 7.5851
_cell_angle_alpha 90.00
_cell_angle_beta 90.00
_cell_angle_gamma 90.00
_symmetry_space_group_name_H-M 'F -4 3 m'
_symmetry_Int_Tables_number 216
_symmetry_space_group_name_Hall 'F -4 2 3'
loop_
_atom_site_label
_atom_site_type_symbol
_atom_site_fract_x
_atom_site_fract_y
_atom_site_fract_z
Sm1 Sm 0.0000 0.0000 0.0000
Tm1 Tm 0.0000 0.0000 0.5000
Tl1 Tl 0.2500 0.2500 0.7500
In1 In 0.2500 0.2500 0.2500
```

Calculated values
Formation energy from the elements   -0.40 eV/atom
Calculated total energy   -3.97 eV/atom